# 1
Below is a relaxed Tc2NF crystal, with properties calculated at the PBE level.

Computed properties:
Formation energy from raw total energies (eV/atom): 0.012
Space-group type: I-42d
Distance to the lowest polymorph of the same formula (eV/f.u.): 0.000
Total magnetization (μB/cell): 0.0

a b c (Å): 6.567 6.567 6.567
angles (deg): 141.87 141.87 55.02
Positions (direct):
Tc: 0.048 0.625 0.923
Tc: 0.375 0.298 0.423
Tc: 0.702 0.125 0.077
Tc: 0.875 0.952 0.577
N: 0.000 0.000 0.000
N: 0.750 0.250 0.500
F: 0.250 0.750 0.500
F: 0.500 0.500 0.000

***

# 2
Below is a relaxed TiTcSnC2 crystal, with properties calculated at the PBE level.

Computed properties:
Space-group type: P4/mmm
E (eV per cell): -34.0
Total magnetization (μB/cell): 0.0

a b c (Å): 3.960 3.960 5.468
angles (deg): 90.00 90.00 90.00
Positions (direct):
Ti: 0.000 0.000 0.000
Tc: 0.500 0.500 0.500
Sn: 0.500 0.500 0.000
C: 0.000 0.500 0.500
C: 0.500 0.000 0.500

***

# 3
Below is a relaxed SmGaH2O4 crystal, with properties calculated at the PBE level.

Computed properties:
Space-group type: I222
E (eV per cell): -49.7
Total magnetization (μB/cell): 0.0

a b c (Å): 4.744 4.744 4.744
angles (deg): 122.35 107.81 99.15
Positions (direct):
Sm: 0.000 0.000 0.000
Ga: 0.500 0.500 0.000
H: 0.320 0.820 0.500
H: 0.680 0.180 0.500
O: 0.178 0.029 0.580
O: 0.449 0.598 0.420
O: 0.551 0.971 0.149
O: 0.822 0.402 0.851

***

# 4
Below is a relaxed LiAgMo2 crystal, with properties calculated at the PBE level.

Computed properties:
Space-group type: Fm-3m
Distance to the lowest polymorph of the same formula (eV/f.u.): 2.997
Total magnetization (μB/cell): 0.0

a b c (Å): 4.448 4.448 4.448
angles (deg): 60.00 60.00 60.00
Positions (direct):
Li: 0.000 0.000 0.000
Ag: 0.500 0.500 0.500
Mo: 0.250 0.250 0.250
Mo: 0.750 0.750 0.750

***

# 5
Below is a relaxed KRuN2 crystal, with properties calculated at the PBE level.

Computed properties:
Formation energy from raw total energies (eV/atom): 1.717
Space-group type: Fm-3m
Distance to the lowest polymorph of the same formula (eV/f.u.): 6.408
Total magnetization (μB/cell): 0.0

a b c (Å): 4.026 4.026 4.026
angles (deg): 60.00 60.00 60.00
Positions (direct):
K: 0.000 0.000 0.000
Ru: 0.500 0.500 0.500
N: 0.250 0.250 0.250
N: 0.750 0.750 0.750

***

# 6
Below is a relaxed LiIn3Ag7 crystal, with properties calculated at the PBE level.

Computed properties:
Space-group type: C2/m
Distance to the lowest polymorph of the same formula (eV/f.u.): 0.000
Total magnetization (μB/cell): 0.0

a b c (Å): 6.913 6.913 5.275
angles (deg): 107.33 107.33 90.95
Positions (direct):
Li: 0.000 0.000 0.000
In: 0.282 0.718 0.500
In: 0.500 0.500 0.000
In: 0.718 0.282 0.500
Ag: 0.000 0.000 0.500
Ag: 0.083 0.573 0.829
Ag: 0.279 0.279 0.434
Ag: 0.427 0.917 0.171
Ag: 0.573 0.083 0.829
Ag: 0.721 0.721 0.566
Ag: 0.917 0.427 0.171

***

# 7
Below is a relaxed FeRe2Au crystal, with properties calculated at the PBE level.

Computed properties:
Space-group type: C2/m
Distance to the lowest polymorph of the same formula (eV/f.u.): 0.409
Total magnetization (μB/cell): 1.9

a b c (Å): 4.828 4.828 4.728
angles (deg): 101.04 101.04 33.27
Positions (direct):
Fe: 0.000 0.000 0.000
Re: 0.260 0.260 0.766
Re: 0.740 0.740 0.234
Au: 0.500 0.500 0.500

***

# 8
Below is a relaxed BaSb2OsI crystal, with properties calculated at the PBE level.

Computed properties:
Formation energy from raw total energies (eV/atom): -0.069
Space-group type: P4/mmm
Distance to the lowest polymorph of the same formula (eV/f.u.): 0.000
Total magnetization (μB/cell): 0.0

a b c (Å): 5.161 5.161 6.045
angles (deg): 90.00 90.00 90.00
Positions (direct):
Ba: 0.000 0.000 0.000
Sb: 0.000 0.500 0.500
Sb: 0.500 0.000 0.500
Os: 0.500 0.500 0.500
I: 0.500 0.500 0.000

***

# 9
Below is a relaxed Pm2Ho2Tm7 crystal, with properties calculated at the PBE level.

Computed properties:
Space-group type: C2/m
Distance to the lowest polymorph of the same formula (eV/f.u.): 0.000
Total magnetization (μB/cell): 0.0

a b c (Å): 7.973 7.973 6.027
angles (deg): 106.47 106.47 91.68
Positions (direct):
Pm: 0.094 0.094 0.306
Pm: 0.906 0.906 0.694
Ho: 0.288 0.712 0.000
Ho: 0.712 0.288 0.000
Tm: 0.089 0.564 0.321
Tm: 0.270 0.270 0.922
Tm: 0.436 0.911 0.679
Tm: 0.500 0.500 0.500
Tm: 0.564 0.089 0.321
Tm: 0.730 0.730 0.078
Tm: 0.911 0.436 0.679

***

# 10
Below is a relaxed Ce2ZrPa crystal, with properties calculated at the PBE level.

Computed properties:
Space-group type: Fm-3m
Distance to the lowest polymorph of the same formula (eV/f.u.): 0.804
Total magnetization (μB/cell): 0.0

a b c (Å): 5.221 5.221 5.221
angles (deg): 60.00 60.00 60.00
Positions (direct):
Ce: 0.250 0.250 0.250
Ce: 0.750 0.750 0.750
Zr: 0.000 0.000 0.000
Pa: 0.500 0.500 0.500

***

# 11
Below is a relaxed LiY2ZnAu6 crystal, with properties calculated at the PBE level.

Computed properties:
Space-group type: P-1
E (eV per cell): -40.9
Total magnetization (μB/cell): 0.0

a b c (Å): 5.162 5.797 7.603
angles (deg): 96.93 108.76 99.53
Positions (direct):
Li: 0.000 0.000 0.000
Y: 0.443 0.247 0.806
Y: 0.557 0.753 0.194
Zn: 0.000 0.500 0.500
Au: 0.025 0.557 0.838
Au: 0.187 0.928 0.405
Au: 0.482 0.248 0.241
Au: 0.518 0.752 0.759
Au: 0.813 0.072 0.595
Au: 0.975 0.443 0.162

***

# 12
Below is a relaxed Nd2CuTe crystal, with properties calculated at the PBE level.

Computed properties:
Formation energy from raw total energies (eV/atom): -0.639
Space-group type: P4/mmm
Distance to the lowest polymorph of the same formula (eV/f.u.): 0.445
Total magnetization (μB/cell): 0.0

a b c (Å): 3.873 3.873 7.068
angles (deg): 90.00 90.00 90.00
Positions (direct):
Nd: 0.000 0.000 0.238
Nd: 0.000 0.000 0.762
Cu: 0.500 0.500 0.000
Te: 0.500 0.500 0.500